# 1
Material: Dy5Bi5H2
Method: DFT, GGA-PBE
State: relaxed

abc: 12.0451 4.2739 11.7130
angles: 90.00 95.20 90.00
Closest atoms and distances in Å follow each position.
Space group C2/m (No. 12)
Symmetry-distinct sites (fractional):
Dy1 0.0000 0.0000 0.0000 [2 per cell]  2 H 2.22
Dy2 0.0879 0.0000 0.3253 [4 per cell]  1 H 2.34
Dy3 0.1372 0.5000 0.8113 [4 per cell]  2 H 2.37
Bi1 0.0000 0.5000 0.5000 [2 per cell]  4 Dy 3.20, 4 Bi 3.37
Bi2 0.1612 0.5000 0.1149 [4 per cell]  6 Dy 3.11-3.44, 1 H 3.43
Bi3 0.1969 0.0000 0.6120 [4 per cell]  1 H 3.15, 5 Dy 3.29-3.49, 3 Bi 3.37-3.49
H1 0.0547 0.0000 0.8245 [4 per cell]  4 Dy 2.22-2.37

Total energy (eV per cell): -112.69
DOS at the Fermi energy (states/eV/atom): 0.462

---

# 2
Material: Dy4Bi3H4
Method: DFT, GGA-PBE
State: relaxed

abc: 4.1979 7.6104 14.0167
angles: 90.00 90.00 90.00
Closest atoms and distances in Å follow each position.
Space group Immm (No. 71)
Symmetry-distinct sites (fractional):
Dy1 0.0000 0.0000 0.2132 [4 per cell]  4 H 2.54
Dy2 0.0000 0.2283 0.5000 [4 per cell]  2 H 2.52
Bi1 0.0000 0.0000 0.0000 [2 per cell]  6 Dy 2.95-2.99
Bi2 0.0000 0.5000 0.1213 [4 per cell]  6 Dy 3.13-3.21, 6 H 3.18-3.33, 1 Bi 3.40
H1 0.0000 0.3272 0.3281 [8 per cell]  3 Dy 2.52-2.54, 1 H 2.63

Total energy (eV per cell): -97.08
DOS at the Fermi energy (states/eV/atom): 0.261

---

# 3
Material: Dy3BiH3
Method: DFT, GGA-PBE
State: relaxed

abc: 6.2625 6.2625 6.2625
angles: 90.00 90.00 90.00
Closest atoms and distances in Å follow each position.
Space group Pm-3n (No. 223)
Symmetry-distinct sites (fractional):
Dy1 0.0000 0.2500 0.5000 [6 per cell]  4 H 2.21
Bi1 0.0000 0.0000 0.0000 [2 per cell]  12 H 3.50, 12 Dy 3.50
H1 0.0000 0.5000 0.2500 [6 per cell]  4 Dy 2.21

Total energy (eV per cell): -63.50
DOS at the Fermi energy (states/eV/atom): 0.628

---

# 4
Material: Dy4Bi3H2
Method: DFT, GGA-PBE
State: relaxed

abc: 12.4347 9.9834 7.3984
angles: 90.00 101.61 90.00
Closest atoms and distances in Å follow each position.
Space group C2/c (No. 15)
Symmetry-distinct sites (fractional):
Dy1 0.1112 0.1838 0.0098 [8 per cell]  2 H 2.28-2.37
Dy2 0.1684 0.4399 0.6205 [8 per cell]  2 H 2.39-2.42
Bi1 0.0000 0.3785 0.2500 [4 per cell]  6 Dy 3.07-3.16
Bi2 0.1474 0.1211 0.6149 [8 per cell]  6 Dy 3.11-3.25, 2 H 3.22-3.40
H1 0.1996 0.3693 0.9350 [8 per cell]  4 Dy 2.28-2.42

Total energy (eV per cell): -170.83
DOS at the Fermi energy (states/eV/atom): 0.269

---

# 5
Material: Dy2Bi2H
Method: DFT, GGA-PBE
State: relaxed

abc: 4.3315 15.8421 7.7596
angles: 90.00 90.00 90.00
Closest atoms and distances in Å follow each position.
Space group Cmc2_1 (No. 36)
Symmetry-distinct sites (fractional):
Dy1 0.0000 0.0702 0.0000 [4 per cell]  1 H 2.20
Dy2 0.0000 0.3520 0.8489 [4 per cell]  2 H 2.31
Bi1 0.0000 0.2835 0.4677 [4 per cell]  1 H 3.09, 5 Dy 3.15-3.19
Bi2 0.0000 0.4555 0.1931 [4 per cell]  6 Dy 3.13-3.28, 2 H 3.38, 1 Bi 3.46
H1 0.0000 0.1149 0.2682 [4 per cell]  3 Dy 2.20-2.31

Total energy (eV per cell): -92.87
DOS at the Fermi energy (states/eV/atom): 0.701

---

# 6
Material: Dy2BiH3
Method: DFT, GGA-PBE
State: relaxed

abc: 14.8127 3.9320 7.2142
angles: 90.00 114.40 90.00
Closest atoms and distances in Å follow each position.
Space group C2/m (No. 12)
Symmetry-distinct sites (fractional):
Dy1 0.0290 0.0000 0.2710 [4 per cell]  5 H 2.16-2.29
Dy2 0.1972 0.5000 0.6697 [4 per cell]  2 H 2.12-2.26
Bi1 0.1354 0.5000 0.0472 [4 per cell]  7 Dy 3.16-3.33, 7 H 3.21-3.49
H1 0.0609 0.5000 0.4064 [4 per cell]  3 Dy 2.12-2.16
H2 0.0938 0.0000 0.6200 [4 per cell]  1 H 2.13, 2 Dy 2.26-2.29
H3 0.1919 0.0000 0.4718 [4 per cell]  1 H 2.13, 2 Dy 2.24-2.26

Total energy (eV per cell): -109.19
DOS at the Fermi energy (states/eV/atom): 0.048

---

# 7
Material: Dy3Bi2H2
Method: DFT, GGA-PBE
State: relaxed

abc: 4.1851 6.3579 6.5537
angles: 72.10 71.47 70.82
Closest atoms and distances in Å follow each position.
Space group P-1 (No. 2)
Symmetry-distinct sites (fractional):
Dy1 0.0000 0.0000 0.0000 [1 per cell]  2 H 2.24
Dy2 0.1836 0.3838 0.2478 [2 per cell]  3 H 2.26-2.39
Bi1 0.4216 0.7971 0.3591 [2 per cell]  7 Dy 3.10-3.43, 1 H 3.44
H1 0.2109 0.6508 0.9270 [2 per cell]  4 Dy 2.24-2.39

Total energy (eV per cell): -33.13
DOS at the Fermi energy (states/eV/atom): 0.437

---

# 8
Material: Dy4Bi5H
Method: DFT, GGA-PBE
State: relaxed

abc: 17.9252 3.5062 9.2097
angles: 90.00 91.51 90.00
Closest atoms and distances in Å follow each position.
Space group C2/m (No. 12)
Symmetry-distinct sites (fractional):
Dy1 0.0121 0.0000 0.3128 [4 per cell]  2 H 2.47
Dy2 0.1522 0.5000 0.5627 [4 per cell]  1 H 2.77
Bi1 0.0000 0.5000 0.0000 [2 per cell]  4 Dy 3.37, 6 Bi 3.45-3.51
Bi2 0.1508 0.0000 0.8742 [4 per cell]  3 Dy 3.35-3.36, 7 Bi 3.45-3.73
Bi3 0.1877 0.0000 0.2752 [4 per cell]  4 Dy 3.18-3.25, 2 Bi 3.51
H1 0.0000 0.5000 0.5000 [2 per cell]  4 Dy 2.47

Total energy (eV per cell): -88.29
DOS at the Fermi energy (states/eV/atom): 0.845

---

> Number 3 is which compound?

Dy3BiH3

---

> Look up the total energy of the third one.

-63.50 eV per cell